No. 1
A plane-wave DFT calculation with GGA-PBE was carried out for crystalline NbSe2Br5 at its relaxed geometry.

```
data_NbSe2Br5
_chemical_formula_sum 'Nb1 Se2 Br5'
_cell_length_a 7.236
_cell_length_b 8.144
_cell_length_c 7.703
_cell_angle_alpha 66.91
_cell_angle_beta 60.62
_cell_angle_gamma 63.07
_symmetry_space_group_name_H-M 'P 1'
_symmetry_Int_Tables_number 1
_symmetry_space_group_name_Hall 'P 1'
loop_
_atom_site_label
_atom_site_type_symbol
_atom_site_fract_x
_atom_site_fract_y
_atom_site_fract_z
_atom_site_occupancy
Nb1 Nb 0.909 0.002 0.995 1
Se1 Se 0.482 0.506 0.578 1
Se2 Se 0.282 0.479 0.456 1
Br1 Br 0.926 0.993 0.309 1
Br2 Br 0.023 0.648 0.083 1
Br3 Br 0.796 0.357 0.909 1
Br4 Br 0.243 0.990 0.678 1
Br5 Br 0.562 0.025 0.992 1
```

Values from the calculation:
The value obtained for the formation energy without anion corrections is -48 kJ/mol of atoms. Its space-group type is No. 1. For the total energy, the calculation gives -3.675 eV/atom. The calculation puts the volume at 43.01 Å³/atom.

---

No. 2
A plane-wave DFT calculation with GGA-PBE was carried out for crystalline NbSe2Br at its relaxed geometry.

```
data_NbSe2Br
_chemical_formula_sum 'Nb1 Se2 Br1'
_cell_length_a 4.811
_cell_length_b 4.811
_cell_length_c 4.811
_cell_angle_alpha 60.00
_cell_angle_beta 60.00
_cell_angle_gamma 60.00
_symmetry_space_group_name_H-M 'P 1'
_symmetry_Int_Tables_number 1
_symmetry_space_group_name_Hall 'P 1'
loop_
_atom_site_label
_atom_site_type_symbol
_atom_site_fract_x
_atom_site_fract_y
_atom_site_fract_z
_atom_site_occupancy
Nb1 Nb 0.500 0.500 0.500 1
Se1 Se 0.250 0.250 0.250 1
Se2 Se 0.750 0.750 0.750 1
Br1 Br 0.000 0.000 0.000 1
```

Values from the calculation:
The value obtained for the formation energy without anion corrections is 22 kJ/mol of atoms. Its space-group type is No. 225. For the total energy, the calculation gives -4.445 eV/atom. The calculation puts the volume at 19.69 Å³/atom.

---

No. 3
A plane-wave DFT calculation with GGA-PBE was carried out for crystalline Nb4Se8Br at its relaxed geometry.

```
data_Nb4Se8Br
_chemical_formula_sum 'Nb8 Se16 Br2'
_cell_length_a 6.930
_cell_length_b 6.930
_cell_length_c 17.800
_cell_angle_alpha 90.00
_cell_angle_beta 90.00
_cell_angle_gamma 120.00
_symmetry_space_group_name_H-M 'P 1'
_symmetry_Int_Tables_number 1
_symmetry_space_group_name_Hall 'P 1'
loop_
_atom_site_label
_atom_site_type_symbol
_atom_site_fract_x
_atom_site_fract_y
_atom_site_fract_z
_atom_site_occupancy
Nb1 Nb 0.502 0.004 0.250 1
Nb2 Nb 0.498 0.502 0.750 1
Nb3 Nb 0.004 0.502 0.750 1
Nb4 Nb 0.996 0.498 0.250 1
Nb5 Nb 0.502 0.498 0.250 1
Nb6 Nb 0.498 0.996 0.750 1
Nb7 Nb 0.000 0.000 0.250 1
Nb8 Nb 0.000 0.000 0.750 1
Se1 Se 0.166 0.331 0.845 1
Se2 Se 0.669 0.834 0.845 1
Se3 Se 0.166 0.834 0.845 1
Se4 Se 0.834 0.166 0.345 1
Se5 Se 0.331 0.166 0.155 1
Se6 Se 0.834 0.669 0.345 1
Se7 Se 0.331 0.166 0.345 1
Se8 Se 0.166 0.331 0.655 1
Se9 Se 0.166 0.834 0.655 1
Se10 Se 0.834 0.166 0.155 1
Se11 Se 0.667 0.333 0.655 1
Se12 Se 0.333 0.667 0.155 1
Se13 Se 0.333 0.667 0.345 1
Se14 Se 0.667 0.333 0.845 1
Se15 Se 0.669 0.834 0.655 1
Se16 Se 0.834 0.669 0.155 1
Br1 Br 0.000 0.000 0.000 1
Br2 Br 0.000 0.000 0.500 1
```

Values from the calculation:
The value obtained for the formation energy without anion corrections is -71 kJ/mol of atoms. Its space-group type is No. 194. For the total energy, the calculation gives -6.108 eV/atom. The calculation puts the volume at 28.47 Å³/atom.

---

No. 4
A plane-wave DFT calculation with GGA-PBE was carried out for crystalline Nb3Se10Br3 at its relaxed geometry.

```
data_Nb3Se10Br3
_chemical_formula_sum 'Nb12 Se40 Br12'
_cell_length_a 19.627
_cell_length_b 7.863
_cell_length_c 12.762
_cell_angle_alpha 82.92
_cell_angle_beta 90.00
_cell_angle_gamma 90.00
_symmetry_space_group_name_H-M 'P 1'
_symmetry_Int_Tables_number 1
_symmetry_space_group_name_Hall 'P 1'
loop_
_atom_site_label
_atom_site_type_symbol
_atom_site_fract_x
_atom_site_fract_y
_atom_site_fract_z
_atom_site_occupancy
Nb1 Nb 0.851 0.669 0.327 1
Nb2 Nb 0.000 0.753 0.251 1
Nb3 Nb 0.500 0.247 0.749 1
Nb4 Nb 0.149 0.823 0.170 1
Nb5 Nb 0.500 0.753 0.251 1
Nb6 Nb 0.351 0.823 0.170 1
Nb7 Nb 0.000 0.247 0.749 1
Nb8 Nb 0.649 0.669 0.327 1
Nb9 Nb 0.351 0.331 0.673 1
Nb10 Nb 0.149 0.331 0.673 1
Nb11 Nb 0.851 0.177 0.830 1
Nb12 Nb 0.649 0.177 0.830 1
Se1 Se 0.587 0.964 0.338 1
Se2 Se 0.607 0.724 0.126 1
Se3 Se 0.250 0.097 0.724 1
Se4 Se 0.088 0.988 0.312 1
Se5 Se 0.750 0.903 0.276 1
Se6 Se 0.545 0.958 0.861 1
Se7 Se 0.750 0.138 0.688 1
Se8 Se 0.087 0.036 0.662 1
Se9 Se 0.413 0.036 0.662 1
Se10 Se 0.250 0.226 0.549 1
Se11 Se 0.607 0.452 0.702 1
Se12 Se 0.893 0.724 0.126 1
Se13 Se 0.545 0.730 0.450 1
Se14 Se 0.250 0.063 0.160 1
Se15 Se 0.573 0.419 0.883 1
Se16 Se 0.588 0.012 0.688 1
Se17 Se 0.927 0.466 0.233 1
Se18 Se 0.107 0.276 0.874 1
Se19 Se 0.427 0.534 0.767 1
Se20 Se 0.073 0.581 0.117 1
Se21 Se 0.045 0.270 0.550 1
Se22 Se 0.107 0.548 0.298 1
Se23 Se 0.750 0.937 0.840 1
Se24 Se 0.427 0.581 0.117 1
Se25 Se 0.250 0.862 0.312 1
Se26 Se 0.573 0.466 0.233 1
Se27 Se 0.912 0.012 0.688 1
Se28 Se 0.412 0.988 0.312 1
Se29 Se 0.927 0.419 0.883 1
Se30 Se 0.045 0.042 0.139 1
Se31 Se 0.955 0.730 0.450 1
Se32 Se 0.073 0.534 0.767 1
Se33 Se 0.893 0.452 0.702 1
Se34 Se 0.750 0.774 0.451 1
Se35 Se 0.455 0.042 0.139 1
Se36 Se 0.393 0.276 0.874 1
Se37 Se 0.955 0.958 0.861 1
Se38 Se 0.393 0.548 0.298 1
Se39 Se 0.455 0.270 0.550 1
Se40 Se 0.913 0.964 0.338 1
Br1 Br 0.648 0.387 0.476 1
Br2 Br 0.148 0.613 0.524 1
Br3 Br 0.250 0.613 0.115 1
Br4 Br 0.353 0.904 0.956 1
Br5 Br 0.352 0.613 0.524 1
Br6 Br 0.750 0.480 0.250 1
Br7 Br 0.647 0.096 0.044 1
Br8 Br 0.250 0.520 0.750 1
Br9 Br 0.750 0.387 0.885 1
Br10 Br 0.853 0.096 0.044 1
Br11 Br 0.852 0.387 0.476 1
Br12 Br 0.147 0.904 0.956 1
```

Values from the calculation:
The value obtained for the formation energy without anion corrections is -63 kJ/mol of atoms. Its space-group type is No. 11. For the total energy, the calculation gives -5.031 eV/atom. The calculation puts the volume at 30.54 Å³/atom.

---

What did the third record say?
A plane-wave DFT calculation with GGA-PBE was carried out for crystalline Nb4Se8Br at its relaxed geometry.

```
data_Nb4Se8Br
_chemical_formula_sum 'Nb8 Se16 Br2'
_cell_length_a 6.930
_cell_length_b 6.930
_cell_length_c 17.800
_cell_angle_alpha 90.00
_cell_angle_beta 90.00
_cell_angle_gamma 120.00
_symmetry_space_group_name_H-M 'P 1'
_symmetry_Int_Tables_number 1
_symmetry_space_group_name_Hall 'P 1'
loop_
_atom_site_label
_atom_site_type_symbol
_atom_site_fract_x
_atom_site_fract_y
_atom_site_fract_z
_atom_site_occupancy
Nb1 Nb 0.502 0.004 0.250 1
Nb2 Nb 0.498 0.502 0.750 1
Nb3 Nb 0.004 0.502 0.750 1
Nb4 Nb 0.996 0.498 0.250 1
Nb5 Nb 0.502 0.498 0.250 1
Nb6 Nb 0.498 0.996 0.750 1
Nb7 Nb 0.000 0.000 0.250 1
Nb8 Nb 0.000 0.000 0.750 1
Se1 Se 0.166 0.331 0.845 1
Se2 Se 0.669 0.834 0.845 1
Se3 Se 0.166 0.834 0.845 1
Se4 Se 0.834 0.166 0.345 1
Se5 Se 0.331 0.166 0.155 1
Se6 Se 0.834 0.669 0.345 1
Se7 Se 0.331 0.166 0.345 1
Se8 Se 0.166 0.331 0.655 1
Se9 Se 0.166 0.834 0.655 1
Se10 Se 0.834 0.166 0.155 1
Se11 Se 0.667 0.333 0.655 1
Se12 Se 0.333 0.667 0.155 1
Se13 Se 0.333 0.667 0.345 1
Se14 Se 0.667 0.333 0.845 1
Se15 Se 0.669 0.834 0.655 1
Se16 Se 0.834 0.669 0.155 1
Br1 Br 0.000 0.000 0.000 1
Br2 Br 0.000 0.000 0.500 1
```

Values from the calculation:
The value obtained for the formation energy without anion corrections is -71 kJ/mol of atoms. Its space-group type is No. 194. For the total energy, the calculation gives -6.108 eV/atom. The calculation puts the volume at 28.47 Å³/atom.